Record 1
Computed, not measured: crystalline CeTc12Ge6 at its relaxed geometry at the PBE level of DFT.

Total DFT energy (no corrections) = -156.17 eV for the cell shown
Formation energy from the elements = 1.86 eV per formula unit
Symmetry = R-3m (166)
D(E_F) = 21.02 states/eV/cell
Total magnetization = 0.9 Bohr magnetons per cell

Lattice parameters (Å, degrees): 7.1239 7.1239 7.1239 105.14 105.14 105.14
With the nearest neighbours (Å) after each atom.
Fractional positions:
Ce 0.0000 0.0000 0.0000  6 Tc 3.35, 6 Ge 3.52
Tc 0.8923 0.1077 0.5000  4 Ge 2.43-2.52, 1 Tc 2.44
Tc 0.8059 0.5720 0.5720  3 Ge 2.49-2.76, 2 Tc 2.65
Tc 0.5720 0.5720 0.8059  3 Ge 2.49-2.76, 2 Tc 2.65
Tc 0.4280 0.1941 0.4280  3 Ge 2.49-2.76, 2 Tc 2.65
Tc 0.4280 0.4280 0.1941  3 Ge 2.49-2.76, 2 Tc 2.65
Tc 0.1941 0.4280 0.4280  3 Ge 2.49-2.76, 2 Tc 2.65
Tc 0.1077 0.5000 0.8923  4 Ge 2.43-2.52, 1 Tc 2.44
Tc 0.5000 0.8923 0.1077  4 Ge 2.43-2.52, 1 Tc 2.44
Tc 0.1077 0.8923 0.5000  4 Ge 2.43-2.52, 1 Tc 2.44
Tc 0.8923 0.5000 0.1077  4 Ge 2.43-2.52, 1 Tc 2.44
Tc 0.5000 0.1077 0.8923  4 Ge 2.43-2.52, 1 Tc 2.44
Tc 0.5720 0.8059 0.5720  3 Ge 2.49-2.76, 2 Tc 2.65
Ge 0.7410 0.2660 0.2660  5 Tc 2.43-2.52
Ge 0.2660 0.2660 0.7410  5 Tc 2.43-2.52
Ge 0.2660 0.7410 0.2660  5 Tc 2.43-2.52
Ge 0.7340 0.7340 0.2590  5 Tc 2.43-2.52
Ge 0.2590 0.7340 0.7340  5 Tc 2.43-2.52
Ge 0.7340 0.2590 0.7340  5 Tc 2.43-2.52

Record 2
Computed, not measured: crystalline RbCrBi2Pb at its relaxed geometry at the PBE level of DFT.

Total DFT energy (no corrections) = -19.92 eV for the cell shown
Formation energy from the elements = 2.14 eV per formula unit
Symmetry = P4/mmm (123)
D(E_F) = 3.48 states/eV/cell
Total magnetization = 4.0 Bohr magnetons per cell

Lattice parameters (Å, degrees): 5.4158 5.9174 5.4158 90.00 90.00 90.00
With the nearest neighbours (Å) after each atom.
Fractional positions:
Pb 0.5000 0.5000 0.5000  4 Rb 3.83, 8 Bi 4.01
Cr 0.0000 0.0000 0.0000  4 Bi 2.71, 2 Rb 2.96
Bi 0.0000 0.0000 0.5000  2 Cr 2.71
Bi 0.5000 0.0000 0.0000  2 Cr 2.71
Rb 0.0000 0.5000 0.0000  2 Cr 2.96

Record 3
Computed, not measured: crystalline Sn4IrRh at its relaxed geometry at the PBE level of DFT.

Total DFT energy (no corrections) = -33.08 eV for the cell shown
Energy above the most stable polymorph in this dataset = 0.1070 eV/atom
Formation energy from the elements = -0.86 eV per formula unit
Symmetry = P2/m (10)
D(E_F) = 2.47 states/eV/cell
Total magnetization = 0.0 Bohr magnetons per cell

Lattice parameters (Å, degrees): 3.7443 6.4399 6.4031 109.13 90.00 90.00
With the nearest neighbours (Å) after each atom.
Fractional positions:
Sn 0.0000 0.2612 0.4223  2 Rh 2.67, 1 Ir 2.68, 1 Sn 2.91
Sn 0.5000 0.7391 0.0796  1 Rh 2.67, 2 Ir 2.67, 1 Sn 2.91
Sn 0.5000 0.2609 0.9204  1 Rh 2.67, 2 Ir 2.67, 1 Sn 2.91
Sn 0.0000 0.7388 0.5777  2 Rh 2.67, 1 Ir 2.68, 1 Sn 2.91
Ir 0.0000 0.0000 0.0000  6 Sn 2.67-2.68
Rh 0.5000 0.0000 0.5000  6 Sn 2.67

Question: Which formula does entry 2 have?
Answer: RbCrBi2Pb

Question: total magnetization of number 2 (RbCrBi2Pb)?
Answer: 4.0 Bohr magnetons per cell

Question: The lowest total magnetization belongs to which entry?
Answer: Sn4IrRh

Question: Look up the D(E_F) of the third one.
Answer: 2.47 states/eV/cell